(1)
Compound: CaGa3B
Source: the Alexandria database
Functional: GGA-PBE
Structure: relaxed

a = 5.5522 Å, b = 5.5522 Å, c = 5.5522 Å
α = 90.00°, β = 90.00°, γ = 90.00°
Space group Pm-3m (No. 221)
Unique sites:
Ca  0.0000  0.0000  0.0000
Ga  0.0000  0.0000  0.5000
B  0.5000  0.5000  0.5000

Results
theoretical density = 2.52 g/cm³
crystal system = cubic
DOS at the Fermi energy = 3.8 states/eV/f.u.
M_tot = 0.000 μB per cell
energy relative to the elements = 1.649 eV per atom
final energy = -1.903 eV per atom

(2)
Compound: LiPmAg3
Source: the Alexandria database
Functional: GGA-PBE
Structure: relaxed

a = 4.0673 Å, b = 4.5024 Å, c = 11.4623 Å
α = 90.00°, β = 90.20°, γ = 90.00°
Space group P2_1/m (No. 11)
Unique sites:
Li  0.0031  0.2500  0.2124
Pm  0.4976  0.2500  0.6704
Ag  0.0006  0.7500  0.0960
Ag  0.0018  0.2500  0.4331
Ag  0.4986  0.7500  0.9163

Results
theoretical density = 7.52 g/cm³
crystal system = monoclinic
DOS at the Fermi energy = 2.7 states/eV/f.u.
M_tot = 0.000 μB per cell
energy relative to the elements = -0.112 eV per atom
final energy = -3.155 eV per atom

Which formula does entry 1 have?
CaGa3B

Look up the energy relative to the elements of the second one.
-0.112 eV per atom